## BeCrPdO4 (PBE+U)

Data for a geometry-optimized BeCrPdO4 structure.

Properties
magnetization	0.31	μB per atom
VASP energy	-6.5729	eV/atom
crystal system	orthorhombic

Lattice parameters (Å, degrees): 5.3724 8.0127 6.4344 90.00 90.00 90.00
Space group Cmcm (No. 63)
Inequivalent atoms, fractional coordinates:
Be (0.0000, 0.1404, 0.2500) [4 per cell]
Cr (0.0000, 0.5000, 0.0000) [4 per cell]
Pd (0.0000, 0.2111, 0.7500) [4 per cell]
O (0.0000, 0.2583, 0.0495) [8 per cell]
O (0.2437, 0.4761, 0.7500) [8 per cell]